(1)
Here is ScAl2HgGe after structural relaxation from the Alexandria database. Energies are from PBE.

Lattice parameters (Å, degrees): 4.8151 5.4645 4.8151 90.00 90.00 90.00
Closest atoms and distances in Å follow each position.
Element x y z (fractional)
Sc  0.0000  0.5000  0.0000  2 Hg 2.73
Ge  0.5000  0.5000  0.5000  4 Sc 3.40, 8 Al 3.64
Hg  0.0000  0.0000  0.0000  4 Al 2.41
Al  0.0000  0.0000  0.5000  2 Hg 2.41
Al  0.5000  0.0000  0.0000  2 Hg 2.41

Summary:
- Total magnetization: 0.00 μB per formula unit
- DFT total energy: -3.22 eV/atom
- N(E_F): 0.5827 states/eV/atom
- Energy relative to the elements: 256 kJ/mol of formula units

=====

(2)
Here is AlHgGe2Se6 after structural relaxation from the Alexandria database. Energies are from PBE.

Lattice parameters (Å, degrees): 6.9481 9.6432 9.6432 86.09 72.98 72.98
Closest atoms and distances in Å follow each position.
Element x y z (fractional)
Al  0.2500  0.1683  0.8317  4 Se 2.43-2.45
Al  0.7500  0.8317  0.1683  4 Se 2.43-2.45
Hg  0.2500  0.7844  0.2156  2 Se 2.60
Hg  0.7500  0.2156  0.7844  2 Se 2.60
Ge  0.3066  0.7907  0.6331  4 Se 2.43-2.63
Ge  0.1934  0.3669  0.2093  4 Se 2.43-2.63
Ge  0.6934  0.2093  0.3669  4 Se 2.43-2.63
Ge  0.8066  0.6331  0.7907  4 Se 2.43-2.63
Se  0.1000  0.9695  0.8369  1 Al 2.43, 1 Ge 2.50
Se  0.4000  0.1631  0.0305  1 Al 2.43, 1 Ge 2.50
Se  0.9000  0.0305  0.1631  1 Al 2.43, 1 Ge 2.50
Se  0.6000  0.8369  0.9695  1 Al 2.43, 1 Ge 2.50
Se  0.4269  0.8895  0.3706  1 Al 2.45, 1 Hg 2.60, 1 Ge 2.63
Se  0.0731  0.6294  0.1105  1 Al 2.45, 1 Hg 2.60, 1 Ge 2.63
Se  0.5731  0.1105  0.6294  1 Al 2.45, 1 Hg 2.60, 1 Ge 2.63
Se  0.9269  0.3706  0.8895  1 Al 2.45, 1 Hg 2.60, 1 Ge 2.63
Se  0.0481  0.6964  0.5755  2 Ge 2.43-2.44
Se  0.4519  0.4245  0.3036  2 Ge 2.43-2.44
Se  0.9519  0.3036  0.4245  2 Ge 2.43-2.44
Se  0.5481  0.5755  0.6964  2 Ge 2.43-2.44

Summary:
- Total magnetization: 0.00 μB per formula unit
- Energy relative to the elements, uncorrected: -262 meV per atom
- DFT total energy: -3.68 eV/atom
- N(E_F): 0.4495 states/eV/atom

=====

What did the second record say?
Here is AlHgGe2Se6 after structural relaxation from the Alexandria database. Energies are from PBE.

Lattice parameters (Å, degrees): 6.9481 9.6432 9.6432 86.09 72.98 72.98
Closest atoms and distances in Å follow each position.
Element x y z (fractional)
Al  0.2500  0.1683  0.8317  4 Se 2.43-2.45
Al  0.7500  0.8317  0.1683  4 Se 2.43-2.45
Hg  0.2500  0.7844  0.2156  2 Se 2.60
Hg  0.7500  0.2156  0.7844  2 Se 2.60
Ge  0.3066  0.7907  0.6331  4 Se 2.43-2.63
Ge  0.1934  0.3669  0.2093  4 Se 2.43-2.63
Ge  0.6934  0.2093  0.3669  4 Se 2.43-2.63
Ge  0.8066  0.6331  0.7907  4 Se 2.43-2.63
Se  0.1000  0.9695  0.8369  1 Al 2.43, 1 Ge 2.50
Se  0.4000  0.1631  0.0305  1 Al 2.43, 1 Ge 2.50
Se  0.9000  0.0305  0.1631  1 Al 2.43, 1 Ge 2.50
Se  0.6000  0.8369  0.9695  1 Al 2.43, 1 Ge 2.50
Se  0.4269  0.8895  0.3706  1 Al 2.45, 1 Hg 2.60, 1 Ge 2.63
Se  0.0731  0.6294  0.1105  1 Al 2.45, 1 Hg 2.60, 1 Ge 2.63
Se  0.5731  0.1105  0.6294  1 Al 2.45, 1 Hg 2.60, 1 Ge 2.63
Se  0.9269  0.3706  0.8895  1 Al 2.45, 1 Hg 2.60, 1 Ge 2.63
Se  0.0481  0.6964  0.5755  2 Ge 2.43-2.44
Se  0.4519  0.4245  0.3036  2 Ge 2.43-2.44
Se  0.9519  0.3036  0.4245  2 Ge 2.43-2.44
Se  0.5481  0.5755  0.6964  2 Ge 2.43-2.44

Summary:
- Total magnetization: 0.00 μB per formula unit
- Energy relative to the elements, uncorrected: -262 meV per atom
- DFT total energy: -3.68 eV/atom
- N(E_F): 0.4495 states/eV/atom